La2Al5Cu12, optimized geometry, DFT GGA-PBE; total DFT energy (no corrections) = -4.35 eV per atom; formation enthalpy at 0 K = -470.9 kJ/mol of formula units; magnetization = 0.00 μB per cell; space group = R-3m (166)
1.0
4.420 2.552 4.313
-4.420 2.552 4.313
0.000 -5.104 4.313
La Al Cu
2 5 12
Direct
0.151 0.151 0.151
0.849 0.849 0.849
0.000 0.500 0.500
0.402 0.402 0.402
0.500 0.000 0.500
0.500 0.500 0.000
0.598 0.598 0.598
0.157 0.157 0.646
0.157 0.646 0.157
0.211 0.500 0.789
0.211 0.789 0.500
0.354 0.843 0.843
0.500 0.211 0.789
0.500 0.789 0.211
0.646 0.157 0.157
0.789 0.211 0.500
0.789 0.500 0.211
0.843 0.354 0.843
0.843 0.843 0.354